[1]
Entry from Alexandria: a crystal of RbZnCr2I relaxed with PBEsol (meta-GGA SCAN).

Unit cell a=5.3587 b=5.3587 c=6.6884 alpha=90.00 beta=90.00 gamma=90.00
Each line ends with the local moment (μB).
Element x y z (fractional)
Cr 0.0000 0.5000 0.0000  4.33
Cr 0.5000 0.0000 0.0000  4.33
Zn 0.5000 0.5000 0.5000  0.00
Rb 0.0000 0.0000 0.5000  0.00
I 0.0000 0.0000 0.0000  -0.05

* uncorrected formation energy: 0.749 eV/atom
* DOS(E_F): 3.23 states/eV/f.u.

***

[2]
Entry from Alexandria: a crystal of TlInSiS4 relaxed with PBEsol (meta-GGA SCAN).

Unit cell a=7.4711 b=11.8017 c=16.4753 alpha=90.00 beta=90.00 gamma=90.00
Element x y z (fractional)
S 0.7500 0.5986 0.1417
S 0.2500 0.6391 0.9531
S 0.5128 0.1508 0.7268
S 0.7500 0.0859 0.3419
S 0.9872 0.1508 0.7268
S 0.4872 0.8492 0.2732
S 0.0128 0.8492 0.2732
S 0.0128 0.6508 0.7732
S 0.5128 0.3492 0.2268
S 0.2500 0.4014 0.8583
S 0.7500 0.9014 0.6417
S 0.7500 0.3609 0.0469
S 0.5107 0.1336 0.9574
S 0.9872 0.3492 0.2268
S 0.2500 0.0986 0.3583
S 0.7500 0.1391 0.5469
S 0.9893 0.1336 0.9574
S 0.5107 0.3664 0.4574
S 0.9893 0.3664 0.4574
S 0.2500 0.5859 0.1581
S 0.4872 0.6508 0.7732
S 0.0107 0.6336 0.5426
S 0.0107 0.8664 0.0426
S 0.7500 0.4141 0.8419
S 0.2500 0.8858 0.8616
S 0.7500 0.3858 0.6384
S 0.4893 0.6336 0.5426
S 0.2500 0.6142 0.3616
S 0.2500 0.8609 0.4531
S 0.4893 0.8664 0.0426
S 0.7500 0.1142 0.1384
S 0.2500 0.9141 0.6581
Si 0.7500 0.3178 0.5168
Si 0.7500 0.1822 0.0168
Si 0.2500 0.8178 0.9832
Si 0.2500 0.7076 0.8316
Si 0.2500 0.7924 0.3316
Si 0.7500 0.2924 0.1684
Si 0.7500 0.2076 0.6684
Si 0.2500 0.6822 0.4832
In 0.5075 0.2788 0.8482
In 0.9925 0.2212 0.3482
In 0.9925 0.2788 0.8482
In 0.4925 0.7212 0.1518
In 0.4925 0.7788 0.6518
In 0.0075 0.7212 0.1518
In 0.5075 0.2212 0.3482
In 0.0075 0.7788 0.6518
Tl 0.2500 0.1409 0.5629
Tl 0.2500 0.3591 0.0629
Tl 0.7500 0.8591 0.4371
Tl 0.2500 0.0257 0.1712
Tl 0.7500 0.5257 0.3288
Tl 0.2500 0.4743 0.6712
Tl 0.7500 0.6409 0.9371
Tl 0.7500 0.9743 0.8288

* uncorrected formation energy: -0.702 eV/atom
* DOS(E_F): 0.00 states/eV/f.u.

***

[3]
Entry from Alexandria: a crystal of KY2GaRh relaxed with PBEsol (meta-GGA SCAN).

Unit cell a=4.5269 b=5.1226 c=5.1226 alpha=90.00 beta=90.00 gamma=90.00
Element x y z (fractional)
K 0.0000 0.0000 0.0000
Rh 0.5000 0.0000 0.0000
Y 0.0000 0.5000 0.0000
Y 0.0000 0.0000 0.5000
Ga 0.5000 0.5000 0.5000

* ΔE_f: 118.9 kJ per mole of atoms
* DOS(E_F): 3.85 states/eV/f.u.

***

[4]
Entry from Alexandria: a crystal of Hf3Cr2Ga6 relaxed with PBEsol (meta-GGA SCAN).

Unit cell a=5.2458 b=7.6243 c=8.5949 alpha=90.00 beta=90.00 gamma=90.00
Element x y z (fractional)
Ga 0.7397 0.0365 0.5000
Ga 0.5000 0.3655 0.5000
Ga 0.5000 0.4397 0.0000
Ga 0.7603 0.9635 0.0000
Ga 0.0000 0.5603 0.5000
Ga 0.0000 0.2324 0.6865
Ga 0.2397 0.9635 0.0000
Ga 0.5000 0.7676 0.1865
Ga 0.2603 0.0365 0.5000
Ga 0.5000 0.7676 0.8135
Ga 0.0000 0.6345 0.0000
Ga 0.0000 0.2324 0.3135
Hf 0.0000 0.8430 0.2788
Hf 0.0000 0.2862 0.0000
Hf 0.5000 0.1570 0.7788
Hf 0.5000 0.7138 0.5000
Hf 0.5000 0.1570 0.2212
Hf 0.0000 0.8430 0.7212
Cr 0.7500 0.5000 0.2500
Cr 0.2500 0.5000 0.2500
Cr 0.7500 0.5000 0.7500
Cr 0.2500 0.5000 0.7500

* ΔE_f: -41.9 kJ per mole of atoms
* DOS(E_F): 3.82 states/eV/f.u.

***

[5]
Entry from Alexandria: a crystal of TePtPb relaxed with PBEsol (meta-GGA SCAN).

Unit cell a=4.7296 b=4.7296 c=4.7296 alpha=60.00 beta=60.00 gamma=60.00
Element x y z (fractional)
Pt 0.2500 0.2500 0.2500
Te 0.0000 0.0000 0.0000
Pb 0.5000 0.5000 0.5000

* uncorrected formation energy: -0.231 eV/atom
* distance to the lowest polymorph of the same formula: 0.232 eV/atom
* DOS(E_F): 1.03 states/eV/f.u.

***

[6]
Entry from Alexandria: a crystal of Cr2CoAg relaxed with PBEsol (meta-GGA SCAN).

Unit cell a=2.5726 b=2.5726 c=8.7501 alpha=81.55 beta=81.55 gamma=60.00
Each line ends with the local moment (μB).
Element x y z (fractional)
Co 0.2581 0.2581 0.2256  1.51
Cr 0.9958 0.9958 0.0125  -0.21
Cr 0.7437 0.7437 0.7689  0.07
Ag 0.5023 0.5023 0.4931  0.00

* ΔE_f: 52.2 kJ per mole of atoms
* distance to the lowest polymorph of the same formula: 0.014 eV/atom
* DOS(E_F): 4.23 states/eV/f.u.

***

[7]
Entry from Alexandria: a crystal of Mg2MnOs relaxed with PBEsol (meta-GGA SCAN).

Unit cell a=2.7363 b=4.1973 c=5.4638 alpha=90.00 beta=103.17 gamma=90.00
Each line ends with the local moment (μB).
Element x y z (fractional)
Os 0.2968 0.5000 0.7244  -0.23
Mg 0.0133 0.0000 0.9853  -0.01
Mg 0.7143 0.5000 0.2601  -0.01
Mn 0.4757 0.0000 0.5301  3.41

* ΔE_f: 10.3 kJ per mole of atoms
* distance to the lowest polymorph of the same formula: 0.027 eV/atom
* DOS(E_F): 3.08 states/eV/f.u.

***

[8]
Entry from Alexandria: a crystal of K2Y2P3O12 relaxed with PBEsol (meta-GGA SCAN).

Unit cell a=10.5961 b=10.5961 c=10.5961 alpha=90.00 beta=90.00 gamma=90.00
Each line ends with the local moment (μB).
Element x y z (fractional)
Y 0.5990 0.5990 0.5990  -0.01
Y 0.9010 0.4010 0.0990  -0.01
Y 0.8326 0.1674 0.6674  -0.01
Y 0.1674 0.6674 0.8326  -0.01
Y 0.4010 0.0990 0.9010  -0.01
Y 0.0990 0.9010 0.4010  -0.01
Y 0.6674 0.8326 0.1674  -0.01
Y 0.3326 0.3326 0.3326  -0.01
O 0.9912 0.5713 0.7790  0.11
O 0.4768 0.9170 0.8221  0.09
O 0.2235 0.0459 0.8075  0.08
O 0.0830 0.3221 0.0232  0.09
O 0.4912 0.9287 0.2210  0.11
O 0.7210 0.0088 0.0713  0.11
O 0.6478 0.2335 0.5907  0.08
O 0.0713 0.7210 0.0088  0.11
O 0.2765 0.9541 0.3075  0.08
O 0.2790 0.5088 0.4287  0.11
O 0.5459 0.6925 0.7765  0.08
O 0.5713 0.7790 0.9912  0.11
O 0.1925 0.7235 0.4541  0.08
O 0.4287 0.2790 0.5088  0.11
O 0.5232 0.4170 0.6779  0.09
O 0.0232 0.0830 0.3221  0.09
O 0.4541 0.1925 0.7235  0.08
O 0.6925 0.7765 0.5459  0.08
O 0.5907 0.6478 0.2335  0.08
O 0.1779 0.9768 0.5830  0.09
O 0.4170 0.6779 0.5232  0.09
O 0.8522 0.7665 0.0907  0.08
O 0.3075 0.2765 0.9541  0.08
O 0.7765 0.5459 0.6925  0.08
O 0.2665 0.4093 0.1478  0.08
O 0.8075 0.2235 0.0459  0.08
O 0.9768 0.5830 0.1779  0.09
O 0.7665 0.0907 0.8522  0.08
O 0.3221 0.0232 0.0830  0.09
O 0.9170 0.8221 0.4768  0.09
O 0.0459 0.8075 0.2235  0.08
O 0.0088 0.0713 0.7210  0.11
O 0.9541 0.3075 0.2765  0.08
O 0.5830 0.1779 0.9768  0.09
O 0.6779 0.5232 0.4170  0.09
O 0.1478 0.2665 0.4093  0.08
O 0.2335 0.5907 0.6478  0.08
O 0.7235 0.4541 0.1925  0.08
O 0.7335 0.9093 0.3522  0.08
O 0.0907 0.8522 0.7665  0.08
O 0.3522 0.7335 0.9093  0.08
O 0.2210 0.4912 0.9287  0.11
O 0.9287 0.2210 0.4912  0.11
O 0.9093 0.3522 0.7335  0.08
O 0.5088 0.4287 0.2790  0.11
O 0.8221 0.4768 0.9170  0.09
O 0.7790 0.9912 0.5713  0.11
O 0.4093 0.1478 0.2665  0.08
K 0.8175 0.8175 0.8175  0.00
K 0.6825 0.1825 0.3175  0.00
K 0.3175 0.6825 0.1825  0.00
K 0.9426 0.5574 0.4426  0.00
K 0.0574 0.0574 0.0574  0.00
K 0.1825 0.3175 0.6825  0.00
K 0.4426 0.9426 0.5574  0.00
K 0.5574 0.4426 0.9426  0.00
P 0.2189 0.3744 0.0149  -0.01
P 0.9851 0.7189 0.1256  -0.01
P 0.7189 0.1256 0.9851  -0.01
P 0.2811 0.6256 0.5149  -0.01
P 0.1256 0.9851 0.7189  -0.01
P 0.0149 0.2189 0.3744  -0.01
P 0.5149 0.2811 0.6256  -0.01
P 0.6256 0.5149 0.2811  -0.01
P 0.4851 0.7811 0.8744  -0.01
P 0.7811 0.8744 0.4851  -0.01
P 0.8744 0.4851 0.7811  -0.01
P 0.3744 0.0149 0.2189  -0.01

* uncorrected formation energy: -2.920 eV/atom
* DOS(E_F): 10.25 states/eV/f.u.

***

[9]
Entry from Alexandria: a crystal of CaAlTe2 relaxed with PBEsol (meta-GGA SCAN).

Unit cell a=4.1675 b=4.1675 c=7.7375 alpha=74.38 beta=74.38 gamma=60.00
Element x y z (fractional)
Te 0.7413 0.7413 0.7761
Te 0.2587 0.2587 0.2239
Ca 0.5000 0.5000 0.5000
Al 0.0000 0.0000 0.0000

* uncorrected formation energy: -0.851 eV/atom
* DOS(E_F): 2.06 states/eV/f.u.

***

[10]
Entry from Alexandria: a crystal of OsAuSe2 relaxed with PBEsol (meta-GGA SCAN).

Unit cell a=3.9617 b=3.9617 c=5.0882 alpha=112.91 beta=112.91 gamma=90.00
Element x y z (fractional)
Au 0.5000 0.5000 0.0000
Os 0.2500 0.7500 0.5000
Se 0.0000 0.0000 0.0000
Se 0.7500 0.2500 0.5000

* uncorrected formation energy: 1.061 eV/atom
* distance to the lowest polymorph of the same formula: 0.975 eV/atom
* DOS(E_F): 3.40 states/eV/f.u.

***

[11]
Entry from Alexandria: a crystal of MnCr2Mo relaxed with PBEsol (meta-GGA SCAN).

Unit cell a=2.5770 b=2.5770 c=7.3324 alpha=90.00 beta=90.00 gamma=90.00
Element x y z (fractional)
Mo 0.5000 0.5000 0.5000
Mn 0.5000 0.5000 0.0000
Cr 0.0000 0.0000 0.7887
Cr 0.0000 0.0000 0.2113

* ΔE_f: 29.8 kJ per mole of atoms
* distance to the lowest polymorph of the same formula: 0.201 eV/atom
* DOS(E_F): 5.02 states/eV/f.u.

***

[12]
Entry from Alexandria: a crystal of Cu2RhSe relaxed with PBEsol (meta-GGA SCAN).

Unit cell a=3.7141 b=3.8031 c=4.6130 alpha=114.34 beta=113.74 gamma=90.00
Element x y z (fractional)
Se 0.2453 0.7453 0.4907
Cu 0.9935 0.9935 0.9870
Cu 0.7528 0.2528 0.5056
Rh 0.5084 0.5084 0.0168

* uncorrected formation energy: 0.118 eV/atom
* DOS(E_F): 3.43 states/eV/f.u.

***

[13]
Entry from Alexandria: a crystal of BaSr2BeP relaxed with PBEsol (meta-GGA SCAN).

Unit cell a=5.3103 b=6.5478 c=6.5478 alpha=90.00 beta=90.00 gamma=90.00
Element x y z (fractional)
Sr 0.0000 0.0000 0.5000
Sr 0.0000 0.5000 0.0000
Ba 0.0000 0.0000 0.0000
P 0.5000 0.0000 0.0000
Be 0.5000 0.5000 0.5000

* ΔE_f: 111.2 kJ per mole of atoms
* DOS(E_F): 4.07 states/eV/f.u.

***

[14]
Entry from Alexandria: a crystal of CoGe3S relaxed with PBEsol (meta-GGA SCAN).

Unit cell a=4.7265 b=4.7265 c=4.7265 alpha=90.00 beta=90.00 gamma=90.00
Each line ends with the local moment (μB).
Element x y z (fractional)
Co 0.5000 0.5000 0.5000  2.08
Ge 0.5000 0.0000 0.0000  -0.01
Ge 0.0000 0.5000 0.0000  -0.01
Ge 0.0000 0.0000 0.5000  -0.01
S 0.0000 0.0000 0.0000  0.00

* uncorrected formation energy: 1.045 eV/atom
* DOS(E_F): 3.02 states/eV/f.u.

***

[15]
Entry from Alexandria: a crystal of SrC2Br2 relaxed with PBEsol (meta-GGA SCAN).

Unit cell a=5.1573 b=5.1573 c=5.1573 alpha=96.67 beta=116.23 gamma=116.23
Each line ends with the local moment (μB).
Element x y z (fractional)
C 0.0000 0.5954 0.5954  0.38
C 0.0000 0.4046 0.4046  0.38
Sr 0.0000 0.0000 0.0000  0.01
Br 0.5000 0.7500 0.2500  0.24
Br 0.5000 0.2500 0.7500  0.24

* uncorrected formation energy: 0.244 eV/atom
* DOS(E_F): 2.56 states/eV/f.u.

***

[16]
Entry from Alexandria: a crystal of KSn2Rh2 relaxed with PBEsol (meta-GGA SCAN).

Unit cell a=4.3612 b=4.3612 c=6.6500 alpha=109.14 beta=109.14 gamma=90.00
Element x y z (fractional)
K 0.0000 0.0000 0.0000
Rh 0.2500 0.7500 0.5000
Rh 0.7500 0.2500 0.5000
Sn 0.3675 0.3675 0.7351
Sn 0.6325 0.6325 0.2649

* ΔE_f: -37.3 kJ per mole of atoms
* DOS(E_F): 2.24 states/eV/f.u.

***

[17]
Entry from Alexandria: a crystal of TlNi2Ir relaxed with PBEsol (meta-GGA SCAN).

Unit cell a=2.7815 b=3.5061 c=5.7799 alpha=90.00 beta=90.00 gamma=90.00
Element x y z (fractional)
Ir 0.5000 0.5000 0.5000
Ni 0.0000 0.0000 0.7154
Ni 0.0000 0.0000 0.2846
Tl 0.5000 0.5000 0.0000

* ΔE_f: 33.7 kJ per mole of atoms
* distance to the lowest polymorph of the same formula: 0.000 eV/atom
* DOS(E_F): 4.12 states/eV/f.u.

***

[18]
Entry from Alexandria: a crystal of SrLa2Cu relaxed with PBEsol (meta-GGA SCAN).

Unit cell a=4.2966 b=5.2646 c=5.2646 alpha=90.00 beta=90.00 gamma=90.00
Element x y z (fractional)
Cu 0.5000 0.0000 0.0000
La 0.0000 0.0000 0.5000
La 0.0000 0.5000 0.0000
Sr 0.5000 0.5000 0.5000

* ΔE_f: 28.9 kJ per mole of atoms
* distance to the lowest polymorph of the same formula: 0.291 eV/atom
* DOS(E_F): 3.17 states/eV/f.u.

***

[19]
Entry from Alexandria: a crystal of LaRe relaxed with PBEsol (meta-GGA SCAN).

Unit cell a=2.9898 b=2.9898 c=10.7646 alpha=90.00 beta=90.00 gamma=120.00
Element x y z (fractional)
Re 0.3333 0.6667 0.4112
Re 0.6667 0.3333 0.5888
La 0.3333 0.6667 0.8427
La 0.6667 0.3333 0.1573

* ΔE_f: 65.4 kJ per mole of atoms
* distance to the lowest polymorph of the same formula: 0.020 eV/atom
* DOS(E_F): 2.24 states/eV/f.u.

***

[20]
Entry from Alexandria: a crystal of Li2RhAu relaxed with PBEsol (meta-GGA SCAN).

Unit cell a=2.8425 b=2.8425 c=6.9213 alpha=90.00 beta=90.00 gamma=90.00
Each line ends with the local moment (μB).
Element x y z (fractional)
Li 0.0000 0.0000 0.0004  0.00
Li 0.5000 0.5000 0.2611  -0.01
Au 0.5000 0.5000 0.7604  0.03
Rh 0.0000 0.0000 0.4781  0.43

* ΔE_f: -14.8 kJ per mole of atoms
* DOS(E_F): 3.35 states/eV/f.u.

***

[21]
Entry from Alexandria: a crystal of CdCu2GeTe4 relaxed with PBEsol (meta-GGA SCAN).

Unit cell a=6.1253 b=6.1253 c=7.3574 alpha=114.60 beta=114.60 gamma=90.00
Element x y z (fractional)
Te 0.1235 0.5984 0.7220
Te 0.8765 0.8765 0.2780
Te 0.4016 0.4016 0.2780
Te 0.5984 0.1235 0.7220
Ge 0.5000 0.5000 0.0000
Cu 0.7500 0.2500 0.5000
Cu 0.2500 0.7500 0.5000
Cd 0.0000 0.0000 0.0000

* uncorrected formation energy: -0.188 eV/atom
* DOS(E_F): 0.39 states/eV/f.u.